A geometry-optimized Ce4SnOs2 structure. Source: Alexandria via LeMat-Bulk, functional PBE.

The structure belongs to space group Cmcm (No. 63); the cell edges are 4.571, 11.892 and 13.663 Å and the angles 90.00°, 90.00° and 90.00°. Symmetry generates all atoms from Ce at (0.000, 0.000, 0.000), Ce at (0.000, 0.273, 0.110), Ce at (0.000, 0.417, 0.750), Sn at (0.000, 0.113, 0.750) and Os at (0.000, 0.392, 0.556).

For the formation energy, the calculation gives -0.292 eV per atom. Its total energy is -7.46 eV/atom. The density is 9.48 Mg/m³.

A geometry-optimized CeSnOs structure. Source: Alexandria via LeMat-Bulk, functional PBE.

The structure belongs to space group P-6m2 (No. 187); the cell edges are 4.6934, 4.6934 and 3.4857 Å and the angles 90.00°, 90.00° and 120.00°. Symmetry generates all atoms from Ce at (0.0000, 0.0000, 0.0000), Sn at (0.3333, 0.6667, 0.5000) and Os at (0.6667, 0.3333, 0.5000).

For the formation energy, the calculation gives -0.182 eV per atom. Its total energy is -7.24 eV/atom. The density is 11.21 Mg/m³.

A geometry-optimized Ce3SnOs structure. Source: Alexandria via LeMat-Bulk, functional PBE.

The structure belongs to space group Pnma (No. 62); the cell edges are 11.773, 4.312 and 11.003 Å and the angles 90.00°, 90.00° and 90.00°. Symmetry generates all atoms from Ce at (0.046, 0.250, 0.171), Ce at (0.112, 0.750, 0.543), Ce at (0.221, 0.250, 0.789), Sn at (0.179, 0.750, 0.004) and Os at (0.001, 0.250, 0.676).

For the formation energy, the calculation gives -0.309 eV per atom. Its total energy is -6.92 eV/atom. The density is 8.67 Mg/m³.

A geometry-optimized Ce12Sn6Os structure. Source: Alexandria via LeMat-Bulk, functional PBE.

The structure belongs to space group R-3 (No. 148, hexagonal axes); the cell edges are 11.1493, 11.1493 and 13.8494 Å and the angles 90.00°, 90.00° and 120.00°. Symmetry generates all atoms from Ce at (0.0420, 0.8752, 0.3124), Ce at (0.0640, 0.2148, 0.9344), Sn at (0.0366, 0.5989, 0.1970) and Os at (0.0000, 0.0000, 0.5000).

For the formation energy, the calculation gives -0.293 eV per atom. Its total energy is -5.90 eV/atom. The density is 8.63 Mg/m³.